Entry 1:
Computed, not measured: a crystal of MnZnCo2 relaxed with PBEsol at the SCAN level of DFT.

Computed properties:
For the energy relative to the elements, the calculation gives -93 meV per atom. As for the space group: F-43m.

Structure (extended XYZ):
```
4
Lattice="0.000 2.843 2.843 2.843 0.000 2.843 2.843 2.843 0.000" Properties=species:S:1:pos:R:3 pbc="T T T"
Mn 0.000 0.000 0.000
Zn 4.264 4.264 4.264
Co 1.421 1.421 1.421
Co 2.843 2.843 2.843
```

=====

Entry 2:
Computed, not measured: a crystal of KSc2Cd relaxed with PBEsol at the SCAN level of DFT.

Computed properties:
For the energy relative to the elements, the calculation gives 596 meV per atom. As for the space group: R-3m.

Structure (extended XYZ):
```
4
Lattice="1.603 0.926 12.707 -1.603 0.926 12.707 0.000 -1.851 12.707" Properties=species:S:1:pos:R:3 pbc="T T T"
K 0.000 0.000 0.000
Sc 0.000 0.000 16.067
Sc 0.000 0.000 22.054
Cd 0.000 0.000 19.060
```

=====

Entry 3:
Computed, not measured: a crystal of As2WSeBr relaxed with PBEsol at the SCAN level of DFT.

Computed properties:
As for the space group: P4/mmm. The calculation puts the formation energy from raw total energies at 1677 meV per atom.

Structure (extended XYZ):
```
5
Lattice="4.929 0.000 0.000 0.000 4.929 0.000 0.000 0.000 4.881" Properties=species:S:1:pos:R:3 pbc="T T T"
As 0.000 2.465 0.000
As 2.465 0.000 0.000
W 0.000 0.000 2.441
Se 2.465 2.465 0.000
Br 2.465 2.465 2.441
```

=====

Entry 4:
Computed, not measured: a crystal of KY2Au relaxed with PBEsol at the SCAN level of DFT.

Computed properties:
For the energy relative to the elements, the calculation gives 70 meV per atom. As for the space group: P4/mmm.

Structure (extended XYZ):
```
4
Lattice="5.103 0.000 0.000 0.000 5.103 0.000 0.000 0.000 4.022" Properties=species:S:1:pos:R:3 pbc="T T T"
K 0.000 0.000 0.000
Y 0.000 2.552 2.011
Y 2.552 0.000 2.011
Au 2.552 2.552 0.000
```

=====

Entry 5:
Computed, not measured: a crystal of ScCo2Ir relaxed with PBEsol at the SCAN level of DFT.

Computed properties:
For the energy relative to the elements, the calculation gives -265 meV per atom. As for the space group: F-43m.

Structure (extended XYZ):
```
4
Lattice="0.000 3.004 3.004 3.004 0.000 3.004 3.004 3.004 0.000" Properties=species:S:1:pos:R:3 pbc="T T T"
Sc 0.000 0.000 0.000
Co 3.004 3.004 3.004
Co 4.506 4.506 4.506
Ir 1.502 1.502 1.502
```

=====

Entry 6:
Computed, not measured: a crystal of Mg4MnRe relaxed with PBEsol at the SCAN level of DFT.

Computed properties:
For the energy relative to the elements, the calculation gives 625 meV per atom. As for the space group: F-43m.

Structure (extended XYZ):
```
6
Lattice="0.000 3.737 3.737 3.737 0.000 3.737 3.737 3.737 0.000" Properties=species:S:1:pos:R:3 pbc="T T T"
Mg 2.810 2.810 2.810
Mg 4.664 4.664 2.810
Mg 4.664 2.810 4.664
Mg 2.810 4.664 4.664
Mn 0.000 0.000 0.000
Re 5.606 5.606 5.606
```

=====

Entry 7:
Computed, not measured: a crystal of SiRu2Br relaxed with PBEsol at the SCAN level of DFT.

Computed properties:
As for the space group: Cmm2. The calculation puts the formation energy from raw total energies at 739 meV per atom.

Structure (extended XYZ):
```
4
Lattice="1.406 -2.440 0.000 1.406 2.440 0.000 0.000 0.000 9.392" Properties=species:S:1:pos:R:3 pbc="T T T"
Si 0.000 0.000 0.000
Ru 0.000 0.000 5.238
Ru 1.406 0.000 7.423
Br 1.406 0.000 3.084
```

=====

Entry 8:
Computed, not measured: a crystal of SrInPt3 relaxed with PBEsol at the SCAN level of DFT.

Computed properties:
For the energy relative to the elements, the calculation gives 100 meV per atom. As for the space group: Pm-3m.

Structure (extended XYZ):
```
5
Lattice="4.956 0.000 0.000 0.000 4.956 0.000 0.000 0.000 4.956" Properties=species:S:1:pos:R:3 pbc="T T T"
Sr 0.000 0.000 0.000
In 2.478 2.478 2.478
Pt 0.000 2.478 2.478
Pt 2.478 0.000 2.478
Pt 2.478 2.478 0.000
```

=====

Entry 9:
Computed, not measured: a crystal of ZnFe2Rh relaxed with PBEsol at the SCAN level of DFT.

Computed properties:
For the energy relative to the elements, the calculation gives -55 meV per atom. As for the space group: Cmm2.

Structure (extended XYZ):
```
4
Lattice="1.424 -2.136 0.000 1.424 2.136 0.000 0.000 0.000 8.170" Properties=species:S:1:pos:R:3 pbc="T T T"
Zn 0.000 0.000 0.000
Fe 0.000 0.000 3.944
Fe 1.424 0.000 2.057
Rh 1.424 0.000 6.023
```

=====

Entry 10:
Computed, not measured: a crystal of MoPt2 relaxed with PBEsol at the SCAN level of DFT.

Computed properties:
For the energy relative to the elements, the calculation gives -333 meV per atom. As for the space group: Cmcm.

Structure (extended XYZ):
```
6
Lattice="1.959 -5.891 0.000 1.959 5.891 0.000 0.000 0.000 3.883" Properties=species:S:1:pos:R:3 pbc="T T T"
Mo 1.959 4.919 2.912
Mo 1.959 -4.919 0.971
Pt 1.959 2.912 0.971
Pt 1.959 0.888 2.912
Pt 1.959 -0.888 0.971
Pt 1.959 -2.912 2.912
```